*i*
Density functional theory data (PBE) for an optimized crystal structure of Sc2Fe3Si3.

Results
The density of states at the Fermi level is 0.556 states/eV/atom. As for the space group: No. 63. Its crystal system is orthorhombic.

extended XYZ file:
```
16
Lattice="-1.250 -0.819 6.639 1.512 -2.171 -6.270 11.383 1.282 2.301" Properties=species:S:1:pos:R:3 pbc="T T T"
Sc 5.162 -1.361 -2.299
Sc 9.418 -0.017 5.562
Sc 2.227 -1.691 -2.892
Sc 6.483 -0.348 4.969
Si 11.436 -0.375 1.232
Si 5.237 -0.767 2.454
Si 6.408 -0.941 0.216
Si 0.209 -1.334 1.438
Si 8.402 -0.403 3.157
Si 3.243 -1.305 -0.487
Fe 11.516 -1.002 -3.902
Fe 3.205 -0.360 7.193
Fe 8.440 -1.349 -4.524
Fe 0.129 -0.707 6.572
Fe 8.914 -0.654 0.761
Fe 2.731 -1.054 1.909
```

***

*ii*
Density functional theory data (PBE) for an optimized crystal structure of Sc2Fe3Si3.

Results
The density of states at the Fermi level is 0.772 states/eV/atom. As for the space group: No. 63. Its crystal system is orthorhombic.

extended XYZ file:
```
16
Lattice="5.044 -0.001 0.000 -3.595 3.538 0.000 0.000 0.000 12.880" Properties=species:S:1:pos:R:3 pbc="T T T"
Sc -2.364 3.033 5.462
Sc 3.813 0.503 11.902
Sc -2.364 3.033 0.978
Sc 3.813 0.503 7.418
Si -2.306 3.010 10.962
Si 3.755 0.527 4.522
Si -2.306 3.010 8.358
Si 3.755 0.527 1.918
Si -0.084 2.099 9.660
Si 1.532 1.437 3.220
Fe 1.143 1.597 11.831
Fe 0.306 1.940 5.391
Fe 1.143 1.597 7.489
Fe 0.306 1.940 1.049
Fe 2.443 1.064 9.660
Fe -0.994 2.472 3.220
```

***

Energy ordering: *ii* at the bottom, the next structure 0.047 eV/atom above.

***

*i*
Density functional theory data (PBE) for an optimized crystal structure of ScFe2Sn2.

Results
The density of states at the Fermi level is 1.107 states/eV/atom. As for the space group: No. 127. Its crystal system is tetragonal.

extended XYZ file:
```
10
Lattice="-1.574 -2.964 -6.771 7.250 -1.969 -0.824 -0.568 -2.629 1.283" Properties=species:S:1:pos:R:3 pbc="T T T"
Sc 0.000 0.000 0.000
Sc 2.838 -2.466 -3.797
Sn 5.645 -2.741 -3.116
Sn 3.321 -3.805 -6.327
Sn 0.030 -2.192 -4.479
Sn 2.354 -1.128 -1.268
Fe 4.203 -3.049 -0.925
Fe 4.837 -4.916 -4.472
Fe 0.904 -4.513 -5.387
Fe 0.270 -2.645 -1.840
```

***

*ii*
Density functional theory data (PBE) for an optimized crystal structure of ScFe2Sn2.

Results
The density of states at the Fermi level is 0.849 states/eV/atom. As for the space group: No. 139. Its crystal system is tetragonal.

extended XYZ file:
```
5
Lattice="-3.486 -2.638 0.722 0.382 -1.629 -4.103 1.309 -5.477 -0.096" Properties=species:S:1:pos:R:3 pbc="T T T"
Sc 0.000 0.000 0.000
Sn -1.864 -5.124 -0.532
Sn 0.070 -4.620 -2.944
Fe -0.929 -2.861 -1.343
Fe -0.865 -6.883 -2.133
```

***

Energy ordering: *ii* at the bottom, the next structure 0.035 eV/atom above.